# NaPm2Sc

Crystalline NaPm2Sc at its relaxed geometry (PBE-GGA, the Alexandria database).

Results
**DOS at the Fermi energy**: 3.99 states/eV per cell
**Offset from the most stable computed form**: 0 meV per atom
**Final energy**: -16.6 eV for the cell shown
**Formation energy from the elements**: 13 kJ/mol of atoms

```
NaPm2Sc
1.0
3.851 0.000 0.000
0.000 3.851 0.000
0.000 0.000 8.895
Na Pm Sc
1 2 1
Direct
0.000 0.000 0.000 Na
0.500 0.500 0.287 Pm
0.500 0.500 0.713 Pm
0.000 0.000 0.500 Sc
```